Be2SiCl after structural relaxation. Source: Alexandria via LeMat-Bulk, functional PBE.

## Properties
The value obtained for the total energy is -13.68 eV per formula unit. The calculation puts the total magnetization at 0.00 Bohr magnetons per cell. Its density is 2.42 g/cm³. The value obtained for the excess energy over the best structure of this formula in the dataset is 187 meV per atom.

The structure in CIF format:
```
data_Be2SiCl
_chemical_formula_sum 'Be2 Si1 Cl1'
_cell_length_a 3.048
_cell_length_b 3.693
_cell_length_c 4.967
_cell_angle_alpha 90.00
_cell_angle_beta 90.00
_cell_angle_gamma 90.00
_space_group_name_H-M_alt 'P m m 2'
_space_group_IT_number 25
loop_
_space_group_symop_operation_xyz
'x,y,z'
'-x,-y,z'
'-x,y,z'
'x,-y,z'
loop_
_atom_site_label
_atom_site_fract_x
_atom_site_fract_y
_atom_site_fract_z
Be1 0.000 0.000 0.000
Be2 0.500 0.500 0.427
Si1 0.500 0.500 0.902
Cl1 0.000 0.000 0.411
```


Be2SiCl after structural relaxation. Source: Alexandria via LeMat-Bulk, functional PBE.

## Properties
The value obtained for the total energy is -10.61 eV per formula unit. The calculation puts the total magnetization at 0.00 Bohr magnetons per cell. Its density is 2.39 g/cm³. The value obtained for the excess energy over the best structure of this formula in the dataset is 953 meV per atom.

The structure in CIF format:
```
data_Be2SiCl
_chemical_formula_sum 'Be8 Si4 Cl4'
_cell_length_a 6.093
_cell_length_b 6.093
_cell_length_c 6.093
_cell_angle_alpha 90.00
_cell_angle_beta 90.00
_cell_angle_gamma 90.00
_space_group_name_H-M_alt 'F -4 3 m'
_space_group_IT_number 216
_space_group_name_Hall 'F -4 2 3'
loop_
_atom_site_label
_atom_site_fract_x
_atom_site_fract_y
_atom_site_fract_z
Be1 0.000 0.000 0.000
Be2 0.250 0.250 0.250
Si1 0.000 0.000 0.500
Cl1 0.250 0.250 0.750
```


Be2SiCl2 after structural relaxation. Source: Alexandria via LeMat-Bulk, functional PBE.

## Properties
The value obtained for the total energy is -13.07 eV per formula unit. The calculation puts the total magnetization at 0.75 Bohr magnetons per cell. Its density is 2.28 g/cm³. The value obtained for the excess energy over the best structure of this formula in the dataset is 252 meV per atom.

The structure in CIF format:
```
data_Be2SiCl2
_chemical_formula_sum 'Be4 Si2 Cl4'
_cell_length_a 4.152
_cell_length_b 4.152
_cell_length_c 9.895
_cell_angle_alpha 90.00
_cell_angle_beta 90.00
_cell_angle_gamma 90.00
_space_group_name_H-M_alt 'I 4/m m m'
_space_group_IT_number 139
_space_group_name_Hall '-I 4 2'
loop_
_atom_site_label
_atom_site_fract_x
_atom_site_fract_y
_atom_site_fract_z
Be1 0.000 0.500 0.250
Si1 0.000 0.000 0.000
Cl1 0.000 0.000 0.332
```


Be2SiCl after structural relaxation. Source: Alexandria via LeMat-Bulk, functional PBE.

## Properties
The value obtained for the total energy is -12.57 eV per formula unit. The calculation puts the total magnetization at 0.00 Bohr magnetons per cell. Its density is 2.34 g/cm³. The value obtained for the excess energy over the best structure of this formula in the dataset is 463 meV per atom.

The structure in CIF format:
```
data_Be2SiCl
_chemical_formula_sum 'Be4 Si2 Cl2'
_cell_length_a 5.073
_cell_length_b 6.789
_cell_length_c 3.988
_cell_angle_alpha 90.00
_cell_angle_beta 122.53
_cell_angle_gamma 90.00
_space_group_name_H-M_alt 'C 1 2/m 1'
_space_group_IT_number 12
loop_
_space_group_symop_operation_xyz
'x,y,z'
'-x,-y,-z'
'-x,y,-z'
'x,-y,z'
'x+1/2,y+1/2,z'
'-x+1/2,-y+1/2,-z'
'-x+1/2,y+1/2,-z'
'x+1/2,-y+1/2,z'
loop_
_atom_site_label
_atom_site_fract_x
_atom_site_fract_y
_atom_site_fract_z
Be1 0.250 0.250 0.000
Si1 0.000 0.000 0.500
Cl1 0.000 0.500 0.500
```


Be2SiCl after structural relaxation. Source: Alexandria via LeMat-Bulk, functional PBE.

## Properties
The value obtained for the total energy is -13.88 eV per formula unit. The calculation puts the total magnetization at 2.18 Bohr magnetons per cell. Its density is 2.00 g/cm³. The value obtained for the excess energy over the best structure of this formula in the dataset is 137 meV per atom.

The structure in CIF format:
```
data_Be2SiCl
_chemical_formula_sum 'Be8 Si4 Cl4'
_cell_length_a 5.217
_cell_length_b 5.217
_cell_length_c 9.950
_cell_angle_alpha 90.00
_cell_angle_beta 90.00
_cell_angle_gamma 90.00
_space_group_name_H-M_alt 'I -4 2 d'
_space_group_IT_number 122
_space_group_name_Hall 'I -4 2bw'
loop_
_atom_site_label
_atom_site_fract_x
_atom_site_fract_y
_atom_site_fract_z
Be1 0.248 0.250 0.125
Si1 0.000 0.000 0.000
Cl1 0.000 0.000 0.500
```


Be2SiCl after structural relaxation. Source: Alexandria via LeMat-Bulk, functional PBE.

## Properties
The value obtained for the total energy is -12.13 eV per formula unit. The calculation puts the total magnetization at 0.00 Bohr magnetons per cell. Its density is 2.09 g/cm³. The value obtained for the excess energy over the best structure of this formula in the dataset is 575 meV per atom.

The structure in CIF format:
```
data_Be2SiCl
_chemical_formula_sum 'Be4 Si2 Cl2'
_cell_length_a 3.174
_cell_length_b 3.174
_cell_length_c 12.856
_cell_angle_alpha 90.00
_cell_angle_beta 90.00
_cell_angle_gamma 90.00
_space_group_name_H-M_alt 'I -4 m 2'
_space_group_IT_number 119
_space_group_name_Hall 'I -4 -2'
loop_
_atom_site_label
_atom_site_fract_x
_atom_site_fract_y
_atom_site_fract_z
Be1 0.000 0.000 0.000
Be2 0.000 0.500 0.250
Si1 0.000 0.000 0.500
Cl1 0.000 0.500 0.750
```


Be2SiCl after structural relaxation. Source: Alexandria via LeMat-Bulk, functional PBE.

## Properties
The value obtained for the total energy is -12.77 eV per formula unit. The calculation puts the total magnetization at 0.00 Bohr magnetons per cell. Its density is 1.79 g/cm³. The value obtained for the excess energy over the best structure of this formula in the dataset is 414 meV per atom.

The structure in CIF format:
```
data_Be2SiCl
_chemical_formula_sum 'Be4 Si2 Cl2'
_cell_length_a 2.910
_cell_length_b 6.896
_cell_length_c 7.521
_cell_angle_alpha 90.00
_cell_angle_beta 90.00
_cell_angle_gamma 90.00
_space_group_name_H-M_alt 'I m m m'
_space_group_IT_number 71
_space_group_name_Hall '-I 2 2'
loop_
_atom_site_label
_atom_site_fract_x
_atom_site_fract_y
_atom_site_fract_z
Be1 0.000 0.245 0.000
Si1 0.000 0.500 0.500
Cl1 0.000 0.000 0.500
```


Be2SiCl after structural relaxation. Source: Alexandria via LeMat-Bulk, functional PBE.

## Properties
The value obtained for the total energy is -13.93 eV per formula unit. The calculation puts the total magnetization at 0.00 Bohr magnetons per cell. Its density is 2.49 g/cm³. The value obtained for the excess energy over the best structure of this formula in the dataset is 125 meV per atom.

The structure in CIF format:
```
data_Be2SiCl
_chemical_formula_sum 'Be2 Si1 Cl1'
_cell_length_a 2.895
_cell_length_b 3.042
_cell_length_c 6.186
_cell_angle_alpha 90.00
_cell_angle_beta 90.00
_cell_angle_gamma 90.00
_space_group_name_H-M_alt 'P m m m'
_space_group_IT_number 47
loop_
_space_group_symop_operation_xyz
'x,y,z'
'-x,-y,-z'
'-x,-y,z'
'x,y,-z'
'x,-y,-z'
'-x,y,z'
'-x,y,-z'
'x,-y,z'
loop_
_atom_site_label
_atom_site_fract_x
_atom_site_fract_y
_atom_site_fract_z
Be1 0.000 0.000 0.209
Si1 0.500 0.500 0.000
Cl1 0.500 0.000 0.500
```


Number 1: uncorrected formation energy 0.261 eV/atom. Number 2: uncorrected formation energy 1.027 eV/atom. Number 3: uncorrected formation energy 0.699 eV/atom. Number 4: uncorrected formation energy 0.537 eV/atom. Number 5: uncorrected formation energy 0.211 eV/atom. Number 6: uncorrected formation energy 0.648 eV/atom. Number 7: uncorrected formation energy 0.488 eV/atom. Number 8: uncorrected formation energy 0.198 eV/atom.